Density functional theory data (GGA+U) for a relaxed RbTlVO3 crystal.

* final energy: -5.865 eV per atom
* SG: No. 15
* density: 5.46 g cm⁻³

a b c (Å): 7.2955 7.2955 5.5045
angles (deg): 95.77 95.77 124.25
Positions (direct):
Rb1 0.0928 0.9072 0.7500
Rb2 0.9072 0.0928 0.2500
Tl1 0.2924 0.7076 0.2500
Tl2 0.7076 0.2924 0.7500
V1 0.4518 0.5482 0.7500
V2 0.5482 0.4518 0.2500
O1 0.2908 0.3617 0.0155
O2 0.3155 0.6845 0.7500
O3 0.3617 0.2908 0.5155
O4 0.6383 0.7092 0.4845
O5 0.6845 0.3155 0.2500
O6 0.7092 0.6383 0.9845